[1]
CuHg2Se | PBE-GGA | relaxed

```
CuHg2Se
1.0
-3.825 -0.138 -1.703
-2.845 -2.976 0.775
-5.047 2.332 4.667
Hg Se Cu
2 1 1
Direct
0.747 0.747 0.738 Hg
0.962 0.962 0.025 Hg
0.540 0.540 0.402 Se
0.251 0.251 0.335 Cu
```

Properties
* DFT total energy: -8.25 eV per formula unit
* formation energy (no corrections): -0.0157 eV/atom
* magnetic moment: 0.000 μB per cell
* ρ: 9.442 Mg/m³



[2]
Cu2HgSe | PBE-GGA | relaxed

```
Cu2HgSe
1.0
3.912 0.000 0.000
0.000 5.024 0.000
0.000 0.000 3.544
Cu Se Hg
2 1 1
Direct
0.500 0.500 0.000 Cu
0.000 0.000 0.000 Cu
0.000 0.500 0.500 Se
0.500 0.000 0.500 Hg
```

Properties
* DFT total energy: -11.06 eV per formula unit
* formation energy (no corrections): 0.2287 eV/atom
* magnetic moment: 0.000 μB per cell
* ρ: 9.695 Mg/m³



[3]
CuHg2Se3 | PBE-GGA | relaxed

```
CuHg2Se3
1.0
4.033 0.000 -1.219
-0.751 5.431 -2.485
0.022 0.032 7.354
Se Hg Cu
3 2 1
Direct
0.348 0.323 0.695 Se
0.652 0.628 0.305 Se
0.000 0.041 0.000 Se
0.164 0.920 0.327 Hg
0.836 0.593 0.673 Hg
0.500 0.238 0.000 Cu
```

Properties
* DFT total energy: -16.11 eV per formula unit
* formation energy (no corrections): -0.1593 eV/atom
* magnetic moment: 0.000 μB per cell
* ρ: 7.211 Mg/m³



[4]
Cu2HgSe | PBE-GGA | relaxed

```
Cu2HgSe
1.0
-0.678 -2.951 1.750
2.605 -1.604 -1.696
3.834 1.673 4.307
Hg Cu Se
1 2 1
Direct
0.000 0.000 0.444 Hg
0.000 0.000 0.957 Cu
0.500 0.500 0.245 Cu
0.500 0.500 0.853 Se
```

Properties
* DFT total energy: -11.58 eV per formula unit
* formation energy (no corrections): 0.0993 eV/atom
* magnetic moment: 0.000 μB per cell
* ρ: 9.193 Mg/m³



[5]
Cu2HgSe | PBE-GGA | relaxed

```
Cu2HgSe
1.0
6.427 0.008 0.005
5.314 3.615 0.005
5.314 1.639 3.222
Hg Cu Se
1 2 1
Direct
0.250 0.250 0.250 Hg
0.015 0.015 0.015 Cu
0.485 0.485 0.485 Cu
0.750 0.750 0.750 Se
```

Properties
* DFT total energy: -11.57 eV per formula unit
* formation energy (no corrections): 0.1018 eV/atom
* magnetic moment: 0.000 μB per cell
* ρ: 9.051 Mg/m³



[6]
CuSiHg2Se4 | PBE-GGA | relaxed

```
CuSiHg2Se4
1.0
-0.429 -3.285 5.376
0.176 -5.392 -3.280
5.430 4.275 -0.660
Se Hg Cu Si
4 2 1 1
Direct
0.842 0.417 0.219 Se
0.054 0.094 0.724 Se
0.378 0.803 0.220 Se
0.669 0.629 0.724 Se
0.235 0.235 0.471 Hg
0.486 0.986 0.971 Hg
0.987 0.487 0.972 Cu
0.736 0.736 0.472 Si
```

Properties
* DFT total energy: -25.62 eV per formula unit
* formation energy (no corrections): -0.1947 eV/atom
* magnetic moment: 0.000 μB per cell
* ρ: 6.334 Mg/m³



[7]
CuSn2HgSe4 | PBE-GGA | relaxed

```
CuSn2HgSe4
1.0
6.952 -0.750 0.000
-1.324 6.866 0.000
-2.814 -3.058 4.267
Sn Cu Hg Se
2 1 1 4
Direct
0.297 0.797 0.594 Sn
0.797 0.297 0.594 Sn
0.510 0.510 0.020 Cu
0.056 0.056 0.111 Hg
0.359 0.800 0.159 Se
0.575 0.575 0.681 Se
0.800 0.359 0.159 Se
0.107 0.107 0.681 Se
```

Properties
* DFT total energy: -28.13 eV per formula unit
* formation energy (no corrections): -0.2230 eV/atom
* magnetic moment: 0.000 μB per cell
* ρ: 6.806 Mg/m³



[8]
CuSnHgSe4 | PBE-GGA | relaxed

```
CuSnHgSe4
1.0
-2.566 5.882 3.887
-5.953 4.439 -3.407
-7.757 -0.286 2.552
Se Cu Hg Sn
8 2 2 2
Direct
0.751 0.246 0.746 Se
0.771 0.182 0.277 Se
0.249 0.754 0.254 Se
0.229 0.223 0.318 Se
0.257 0.246 0.746 Se
0.743 0.754 0.254 Se
0.771 0.777 0.682 Se
0.229 0.818 0.723 Se
0.500 0.000 0.500 Cu
0.000 0.000 0.500 Cu
0.663 0.587 0.087 Hg
0.337 0.413 0.913 Hg
0.000 0.500 0.500 Sn
0.000 0.000 0.000 Sn
```

Properties
* DFT total energy: -23.73 eV per formula unit
* formation energy (no corrections): -0.1984 eV/atom
* magnetic moment: 0.000 μB per cell
* ρ: 6.469 Mg/m³



[9]
CuSnHg2Se4 | PBE-GGA | relaxed

```
CuSnHg2Se4
1.0
7.033 0.000 0.000
0.000 7.477 0.000
0.000 0.000 8.791
Cu Se Hg Sn
2 8 4 2
Direct
0.503 0.838 0.000 Cu
0.003 0.162 0.500 Cu
0.386 0.677 0.218 Se
0.883 0.858 0.500 Se
0.886 0.323 0.282 Se
0.886 0.323 0.718 Se
0.352 0.160 0.500 Se
0.383 0.142 0.000 Se
0.852 0.840 0.000 Se
0.386 0.677 0.782 Se
0.999 0.670 0.750 Hg
0.499 0.330 0.750 Hg
0.499 0.330 0.250 Hg
0.999 0.670 0.250 Hg
0.992 0.181 0.000 Sn
0.492 0.819 0.500 Sn
```

Properties
* DFT total energy: -24.37 eV per formula unit
* formation energy (no corrections): -0.2158 eV/atom
* magnetic moment: 0.000 μB per cell
* ρ: 6.461 Mg/m³



[10]
Cu2SnHgSe4 | PBE-GGA | relaxed

```
Cu2SnHgSe4
1.0
7.169 -0.002 0.000
2.255 6.805 0.000
-4.712 -3.402 4.197
Se Hg Cu Sn
4 1 2 1
Direct
0.600 0.115 0.000 Se
0.885 0.885 0.486 Se
0.115 0.600 0.000 Se
0.400 0.400 0.514 Se
0.000 0.000 0.000 Hg
0.250 0.750 0.500 Cu
0.750 0.250 0.500 Cu
0.500 0.500 0.000 Sn
```

Properties
* DFT total energy: -28.66 eV per formula unit
* formation energy (no corrections): -0.2785 eV/atom
* magnetic moment: 0.000 μB per cell
* ρ: 6.180 Mg/m³



[11]
Ta2CuHg2Se6 | PBE-GGA | relaxed

```
Ta2CuHg2Se6
1.0
6.316 -0.108 -0.181
-3.216 5.437 -0.181
-1.398 -2.404 9.437
Se Ta Hg Cu
6 2 2 1
Direct
0.578 0.916 0.335 Se
0.758 0.758 0.668 Se
0.242 0.242 0.332 Se
0.916 0.578 0.335 Se
0.422 0.084 0.665 Se
0.084 0.422 0.665 Se
0.337 0.663 0.500 Ta
0.663 0.337 0.500 Ta
0.754 0.246 0.000 Hg
0.246 0.754 0.000 Hg
0.000 0.000 0.500 Cu
```

Properties
* DFT total energy: -53.84 eV per formula unit
* formation energy (no corrections): -0.4118 eV/atom
* magnetic moment: 0.000 μB per cell
* ρ: 6.851 Mg/m³



[12]
Cu2HgTeSe | PBE-GGA | relaxed

```
Cu2HgTeSe
1.0
3.913 0.000 0.000
0.000 7.995 0.710
0.000 -2.223 7.387
Cu Te Hg Se
4 2 2 2
Direct
0.250 0.501 0.377 Cu
0.750 0.496 0.133 Cu
0.750 0.499 0.623 Cu
0.250 0.504 0.867 Cu
0.750 0.722 0.929 Te
0.250 0.278 0.071 Te
0.250 0.959 0.261 Hg
0.750 0.041 0.739 Hg
0.250 0.305 0.585 Se
0.750 0.695 0.415 Se
```

Properties
* DFT total energy: -15.36 eV per formula unit
* formation energy (no corrections): -0.0487 eV/atom
* magnetic moment: 0.000 μB per cell
* ρ: 7.478 Mg/m³



[13]
TlCu2HgSe4 | PBE-GGA | relaxed

```
TlCu2HgSe4
1.0
-1.629 -2.039 -5.284
-3.516 -3.948 2.605
-1.932 6.917 1.211
Se Tl Cu Hg
4 1 2 1
Direct
0.899 0.393 0.291 Se
0.102 0.102 0.709 Se
0.607 0.607 0.709 Se
0.393 0.899 0.291 Se
0.500 0.500 0.000 Tl
0.250 0.750 0.500 Cu
0.750 0.250 0.500 Cu
0.000 0.000 0.000 Hg
```

Properties
* DFT total energy: -26.37 eV per formula unit
* formation energy (no corrections): -0.1970 eV/atom
* magnetic moment: 0.000 μB per cell
* ρ: 6.783 Mg/m³



[14]
UCuHg2Se6 | PBE-GGA | relaxed

```
UCuHg2Se6
1.0
-4.924 1.990 -4.489
-7.034 -0.953 1.175
-3.747 5.816 1.657
Hg U Se Cu
2 1 6 1
Direct
0.626 0.622 0.115 Hg
0.005 0.012 0.979 Hg
0.821 0.818 0.550 U
0.425 0.744 0.756 Se
0.214 0.909 0.332 Se
0.568 0.208 0.274 Se
0.071 0.423 0.828 Se
0.675 0.099 0.788 Se
0.951 0.541 0.315 Se
0.306 0.285 0.078 Cu
```

Properties
* DFT total energy: -40.20 eV per formula unit
* formation energy (no corrections): -0.3307 eV/atom
* magnetic moment: 0.000 μB per cell
* ρ: 7.645 Mg/m³



[15]
U3CuHg3Se8 | PBE-GGA | relaxed

```
U3CuHg3Se8
1.0
8.202 0.000 0.000
-4.101 6.742 -0.021
0.000 -4.431 9.701
Se U Hg Cu
8 3 3 1
Direct
0.202 0.405 0.643 Se
0.275 0.550 0.336 Se
0.704 0.937 0.661 Se
0.296 0.063 0.339 Se
0.798 0.595 0.357 Se
0.767 0.063 0.339 Se
0.725 0.450 0.664 Se
0.233 0.937 0.661 Se
0.500 0.000 0.500 U
0.000 0.500 0.500 U
0.500 0.500 0.500 U
0.000 0.000 0.000 Hg
0.500 0.500 0.000 Hg
0.000 0.500 0.000 Hg
0.000 0.000 0.500 Cu
```

Properties
* DFT total energy: -76.41 eV per formula unit
* formation energy (no corrections): -0.6443 eV/atom
* magnetic moment: 3.115 μB per cell
* ρ: 6.234 Mg/m³



[16]
VCu3HgSe4 | PBE-GGA | relaxed

```
VCu3HgSe4
1.0
5.968 0.000 0.000
0.000 5.968 0.000
0.000 0.000 5.968
Se Cu Hg V
4 3 1 1
Direct
0.774 0.774 0.226 Se
0.226 0.774 0.774 Se
0.774 0.226 0.774 Se
0.226 0.226 0.226 Se
0.500 0.000 0.000 Cu
0.000 0.000 0.500 Cu
0.000 0.500 0.000 Cu
0.500 0.500 0.500 Hg
0.000 0.000 0.000 V
```

Properties
* DFT total energy: -38.12 eV per formula unit
* formation energy (no corrections): -0.2751 eV/atom
* magnetic moment: 0.000 μB per cell
* ρ: 5.922 Mg/m³



[17]
YCu3HgSe4 | PBE-GGA | relaxed

```
YCu3HgSe4
1.0
6.076 0.000 0.000
0.000 6.076 0.000
0.000 0.000 6.076
Cu Hg Se Y
3 1 4 1
Direct
0.500 0.000 0.000 Cu
0.000 0.000 0.500 Cu
0.000 0.500 0.000 Cu
0.500 0.500 0.500 Hg
0.249 0.751 0.751 Se
0.751 0.751 0.249 Se
0.751 0.249 0.751 Se
0.249 0.249 0.249 Se
0.000 0.000 0.000 Y
```

Properties
* DFT total energy: -36.86 eV per formula unit
* formation energy (no corrections): -0.4294 eV/atom
* magnetic moment: 0.000 μB per cell
* ρ: 5.893 Mg/m³



[18]
ZnCu2HgSe4 | PBE-GGA | relaxed

```
ZnCu2HgSe4
1.0
5.742 0.239 0.000
-0.238 5.742 0.000
-2.752 -2.991 5.742
Zn Cu Se Hg
1 2 4 1
Direct
0.500 0.500 0.000 Zn
0.250 0.750 0.500 Cu
0.750 0.250 0.500 Cu
0.597 0.597 0.725 Se
0.403 0.872 0.275 Se
0.872 0.403 0.275 Se
0.128 0.128 0.725 Se
0.000 0.000 0.000 Hg
```

Properties
* DFT total energy: -25.74 eV per formula unit
* formation energy (no corrections): -0.2541 eV/atom
* magnetic moment: 0.000 μB per cell
* ρ: 6.208 Mg/m³



[19]
ZrCuHgSe3 | PBE-GGA | relaxed

```
ZrCuHgSe3
1.0
3.806 0.000 0.000
0.000 10.753 0.723
0.000 -4.349 7.419
Se Zr Cu Hg
6 2 2 2
Direct
0.250 0.487 0.801 Se
0.750 0.513 0.199 Se
0.250 0.833 0.497 Se
0.250 0.185 0.929 Se
0.750 0.815 0.071 Se
0.750 0.167 0.503 Se
0.250 0.675 0.146 Zr
0.750 0.325 0.854 Zr
0.250 0.087 0.614 Cu
0.750 0.913 0.386 Cu
0.750 0.681 0.662 Hg
0.250 0.319 0.338 Hg
```

Properties
* DFT total energy: -27.52 eV per formula unit
* formation energy (no corrections): -0.6871 eV/atom
* magnetic moment: 0.000 μB per cell
* ρ: 6.233 Mg/m³



[20]
Cu2SiHg | PBE-GGA | relaxed

```
Cu2SiHg
1.0
-1.888 0.468 2.042
-2.628 -1.177 -2.160
0.861 -5.846 2.137
Cu Si Hg
2 1 1
Direct
0.000 0.000 0.992 Cu
0.500 0.500 0.207 Cu
0.500 0.500 0.825 Si
0.000 0.000 0.476 Hg
```

Properties
* DFT total energy: -12.99 eV per formula unit
* formation energy (no corrections): 0.2311 eV/atom
* offset from the most stable computed form: 63 meV/atom
* magnetic moment: 0.000 μB per cell
* ρ: 9.263 Mg/m³



[21]
Cu2SiHg | PBE-GGA | relaxed

```
Cu2SiHg
1.0
-3.963 1.275 -1.603
-1.806 0.738 -4.012
-1.879 -4.369 -0.709
Hg Cu Si
1 2 1
Direct
0.492 0.492 0.517 Hg
0.001 0.001 0.011 Cu
0.734 0.734 0.814 Cu
0.274 0.274 0.158 Si
```

Properties
* DFT total energy: -13.00 eV per formula unit
* formation energy (no corrections): 0.2293 eV/atom
* offset from the most stable computed form: 62 meV/atom
* magnetic moment: 0.000 μB per cell
* ρ: 9.137 Mg/m³



[22]
Cu2Si2Hg | PBE-GGA | relaxed

```
Cu2Si2Hg
1.0
-2.129 0.476 2.903
0.957 -3.277 1.239
3.981 1.047 5.019
Si Hg Cu
2 1 2
Direct
0.750 0.250 0.500 Si
0.250 0.750 0.500 Si
0.000 0.000 0.000 Hg
0.610 0.610 0.780 Cu
0.390 0.390 0.220 Cu
```

Properties
* DFT total energy: -18.37 eV per formula unit
* formation energy (no corrections): 0.1947 eV/atom
* offset from the most stable computed form: 0 meV/atom
* magnetic moment: 0.000 μB per cell
* ρ: 8.108 Mg/m³



[23]
Cu2SiHg | PBE-GGA | relaxed

```
Cu2SiHg
1.0
-2.705 -4.140 -1.840
-0.072 -3.838 3.621
-1.455 4.837 -1.525
Cu Si Hg
2 1 1
Direct
0.474 0.474 0.000 Cu
0.026 0.026 0.000 Cu
0.250 0.750 0.500 Si
0.750 0.250 0.500 Hg
```

Properties
* DFT total energy: -12.75 eV per formula unit
* formation energy (no corrections): 0.2930 eV/atom
* offset from the most stable computed form: 125 meV/atom
* magnetic moment: 0.000 μB per cell
* ρ: 9.127 Mg/m³



[24]
Cu2SiHg | PBE-GGA | relaxed

```
Cu2SiHg
1.0
3.820 0.000 0.000
0.000 2.676 0.003
0.000 -0.008 6.806
Cu Hg Si
2 1 1
Direct
0.500 0.125 0.237 Cu
0.000 0.125 0.846 Cu
0.000 0.625 0.471 Hg
0.500 0.625 0.946 Si
```

Properties
* DFT total energy: -13.22 eV per formula unit
* formation energy (no corrections): 0.1739 eV/atom
* offset from the most stable computed form: 6 meV/atom
* magnetic moment: 0.000 μB per cell
* ρ: 8.490 Mg/m³



[25]
Cu2SiHg | PBE-GGA | relaxed

```
Cu2SiHg
1.0
4.221 -0.017 0.169
3.339 2.582 0.169
1.812 0.615 6.274
Si Cu Hg
1 2 1
Direct
0.250 0.250 0.250 Si
0.007 0.007 0.080 Cu
0.493 0.493 0.420 Cu
0.750 0.750 0.750 Hg
```

Properties
* DFT total energy: -13.17 eV per formula unit
* formation energy (no corrections): 0.1880 eV/atom
* offset from the most stable computed form: 20 meV/atom
* magnetic moment: 0.000 μB per cell
* ρ: 8.710 Mg/m³